(1)
The following is a DFT calculation (PBE) of a relaxed LaSmBi2 crystal.

Output
**ΔH_f (0 K)**: -0.9456 eV per atom
**Symmetry**: No. 194
**Offset from the most stable computed form**: 45.2 meV per atom

Structure (POSCAR):
```
LaSmBi2
1.0
4.6052 0.0000 0.0000
-2.3026 3.9882 0.0000
0.0000 0.0000 15.3336
La Bi Sm
2 4 2
Direct
0.6667 0.3333 0.2500
0.3333 0.6667 0.7500
0.3333 0.6667 0.1192
0.6667 0.3333 0.8808
0.3333 0.6667 0.3808
0.6667 0.3333 0.6192
0.0000 0.0000 0.0000
0.0000 0.0000 0.5000
```

(2)
The following is a DFT calculation (PBE) of a relaxed AlPRh2 crystal.

Output
**ΔH_f (0 K)**: -0.5174 eV per atom
**Symmetry**: No. 10
**Offset from the most stable computed form**: 150.2 meV per atom

Structure (POSCAR):
```
AlPRh2
1.0
-0.8619 -1.0837 3.3214
2.7007 0.6434 0.9107
-0.0889 5.3586 1.7253
Rh Al P
2 1 1
Direct
0.0000 0.8595 0.9860
0.0000 0.6405 0.5140
0.5000 0.2500 0.2500
0.5000 0.7500 0.7500
```

(3)
The following is a DFT calculation (PBE) of a relaxed Rb2CdRe crystal.

Output
**ΔH_f (0 K)**: 1.6020 eV per atom
**Symmetry**: No. 122

Structure (POSCAR):
```
Rb2CdRe
1.0
-3.6175 -2.6130 -0.0496
2.5806 -3.5848 0.6373
-1.6589 -1.7516 12.4906
Rb Cd Re
4 2 2
Direct
0.6271 0.1250 0.2500
0.8750 0.8771 0.7500
0.3750 0.3729 0.7500
0.1229 0.6250 0.2500
0.5000 0.5000 0.0000
0.2500 0.7500 0.5000
0.7500 0.2500 0.5000
0.0000 0.0000 0.0000
```

(4)
The following is a DFT calculation (PBE) of a relaxed Li5Mg2CdIn2 crystal.

Output
**ΔH_f (0 K)**: -0.1224 eV per atom
**Symmetry**: No. 127

Structure (POSCAR):
```
Li5Mg2CdIn2
1.0
3.8874 0.0000 0.0000
0.0000 10.3639 0.0000
0.0000 0.0000 10.3639
Li Mg In Cd
10 4 4 2
Direct
0.5000 0.0669 0.8101
0.5000 0.3101 0.5669
0.5000 0.8101 0.9331
0.5000 0.5000 0.0000
0.5000 0.9331 0.1899
0.5000 0.1899 0.0669
0.5000 0.4331 0.3101
0.5000 0.5669 0.6899
0.5000 0.6899 0.4331
0.5000 0.0000 0.5000
0.0000 0.1660 0.3340
0.0000 0.8340 0.6660
0.0000 0.3340 0.8340
0.0000 0.6660 0.1660
0.0000 0.8673 0.3673
0.0000 0.3673 0.1327
0.0000 0.1327 0.6327
0.0000 0.6327 0.8673
0.0000 0.0000 0.0000
0.0000 0.5000 0.5000
```

(5)
The following is a DFT calculation (PBE) of a relaxed CaHfH2 crystal.

Output
**Symmetry**: No. 225
**Offset from the most stable computed form**: 809.3 meV per atom

Structure (POSCAR):
```
CaHfH2
1.0
0.0000 3.0489 3.0489
3.0489 0.0000 3.0489
3.0489 3.0489 0.0000
H Ca Hf
2 1 1
Direct
0.2500 0.2500 0.2500
0.7500 0.7500 0.7500
0.0000 0.0000 0.0000
0.5000 0.5000 0.5000
```

(6)
The following is a DFT calculation (PBE) of a relaxed Tb6Pm2Sm crystal.

Output
**ΔH_f (0 K)**: 0.3404 eV per atom
**Symmetry**: No. 160
**Offset from the most stable computed form**: 236.9 meV per atom

Structure (POSCAR):
```
Tb6Pm2Sm
1.0
7.4497 0.0000 0.0000
3.7248 6.4516 0.0000
3.7248 2.1505 6.3635
Tb Sm Pm
6 1 2
Direct
0.2594 0.2595 0.6972
0.6173 0.0481 0.2866
0.0480 0.6173 0.2866
0.0481 0.0480 0.2866
0.7839 0.2594 0.6972
0.2595 0.7839 0.6972
0.3156 0.3156 0.0532
0.5798 0.5798 0.2607
0.7541 0.7541 0.7377
```

The records above yield raw total energy values of -5.298, -6.481, -2.223, -2.037, -4.022, -4.326 eV/atom, respectively.